# 1
Material: Ac6GaRu2
Method: DFT, PBE
State: optimized geometry

Cell: 4.104 8.187 10.106 Å, 75.36 90.00 104.52°
Fractional positions:
Ac 0.964 0.928 0.843
Ac 0.766 0.532 0.164
Ac 0.234 0.468 0.836
Ac 0.637 0.274 0.579
Ac 0.363 0.726 0.421
Ac 0.036 0.072 0.157
Ga 0.000 0.000 0.500
Ru 0.596 0.192 0.895
Ru 0.404 0.808 0.105

Properties
Space group: C2/m
Calculated density in Mg/m³: 8.6
Formation energy in meV/atom: -156.2



# 2
Material: HgPbS2Cl
Method: DFT, PBE
State: optimized geometry

Cell: 5.246 5.246 5.356 Å, 90.00 90.00 90.00°
Fractional positions:
Pb 0.000 0.000 0.000
S 0.000 0.500 0.000
S 0.500 0.000 0.000
Hg 0.500 0.500 0.500
Cl 0.000 0.000 0.500

Properties
Space group: P4/mmm
Calculated density in Mg/m³: 5.7
ΔE to the lowest computed polymorph in eV/atom: 0.153
Formation energy from raw total energies in eV per atom: 0.22



# 3
Material: VPRuS2
Method: DFT, PBE
State: optimized geometry

Cell: 4.689 4.689 4.357 Å, 90.00 90.00 90.00°
Site moments in Bohr magnetons follow the coordinates.
Fractional positions:
Ru 0.000 0.000 0.000  -0.21
S 0.000 0.500 0.000  -0.04
S 0.500 0.000 0.000  -0.04
P 0.000 0.000 0.500  0.03
V 0.500 0.500 0.500  -0.14

Properties
Space group: P4/mmm
Calculated density in Mg/m³: 4.3
ΔE to the lowest computed polymorph in eV/atom: 0.194
Formation energy from raw total energies in eV per atom: 0.83



# 4
Material: CeDy6Tm
Method: DFT, PBE
State: optimized geometry

Cell: 4.997 4.997 9.983 Å, 90.00 90.00 90.00°
Site moments in Bohr magnetons follow the coordinates.
Fractional positions:
Ce 0.000 0.000 0.500  0.70
Dy 0.500 0.500 0.000  -0.05
Dy 0.500 0.500 0.500  0.06
Dy 0.500 0.000 0.250  0.03
Dy 0.500 0.000 0.750  0.03
Dy 0.000 0.500 0.250  0.03
Dy 0.000 0.500 0.750  0.03
Tm 0.000 0.000 0.000  -0.06

Properties
Space group: P4/mmm
Calculated density in Mg/m³: 8.6
ΔE to the lowest computed polymorph in eV/atom: 0.000
Formation energy in meV/atom: 46.3



# 5
Material: SrTl6Hg
Method: DFT, PBE
State: optimized geometry

Cell: 5.556 6.890 6.890 Å, 110.92 90.00 90.00°
Fractional positions:
Sr 0.500 0.500 0.500
Tl 0.000 0.734 0.266
Tl 0.000 0.266 0.734
Tl 0.000 0.788 0.788
Tl 0.000 0.212 0.212
Tl 0.500 0.500 0.000
Tl 0.500 0.000 0.500
Hg 0.500 0.000 0.000

Properties
Space group: Cmmm
Calculated density in Mg/m³: 10.2
ΔE to the lowest computed polymorph in eV/atom: 0.000
Formation energy in meV/atom: -121.2



# 6
Material: Rb3AgIr
Method: DFT, PBE
State: optimized geometry

Cell: 6.344 6.344 6.344 Å, 90.00 90.00 90.00°
Site moments in Bohr magnetons follow the coordinates.
Fractional positions:
Ir 0.000 0.000 0.000  0.97
Rb 0.000 0.500 0.000  0.00
Rb 0.000 0.000 0.500  0.00
Rb 0.500 0.000 0.000  0.02
Ag 0.500 0.500 0.500  0.00

Properties
Space group: Pm-3m
Calculated density in Mg/m³: 3.6
ΔE to the lowest computed polymorph in eV/atom: 0.000
Formation energy in meV/atom: 700.5



Which of these has the highest calculated density? SrTl6Hg



Which value of calculated density does entry 4 give? 8.6 Mg/m³



What is the calculated density in the first record? 8.6 Mg/m³



What is the calculated density in the fifth record? 10.2 Mg/m³